Computed, not measured: a relaxed Zr3Tl2S6 crystal at the PBE level of DFT.

Cell and atoms, written as POSCAR:
```
Zr3Tl2S6
1.0
6.0721 0.0000 1.8118
3.0361 5.4893 0.9059
-0.2156 0.0000 8.1337
S Tl Zr
6 2 3
direct
0.0647 0.3338 0.8049
0.7323 0.0000 0.8049
0.3985 0.6662 0.8049
0.9353 0.6662 0.1951
0.6015 0.3338 0.1951
0.2677 0.0000 0.1951
0.8335 0.3329 0.5000
0.1665 0.6671 0.5000
0.6673 0.6655 0.0000
0.3327 0.3345 0.0000
0.0000 0.0000 0.0000
```

## Properties
Formation energy (no corrections) = -1.276 eV per atom
Total energy = -69.17 eV for the cell shown
Symmetry = C2/m


Computed, not measured: a relaxed Pm2HoTmTe6 crystal at the PBE level of DFT.

Cell and atoms, written as POSCAR:
```
Pm2HoTmTe6
1.0
-3.2406 2.1491 6.7337
-7.2858 -2.1451 1.6675
-1.0849 -5.8676 5.8398
Ho Pm Te Tm
1 2 6 1
direct
0.3242 0.3242 0.0274
0.5128 0.5128 0.4615
0.0128 0.0128 0.9616
0.7178 0.0941 0.7553
0.9314 0.5957 0.2573
0.0940 0.4329 0.7552
0.5957 0.2156 0.2573
0.2156 0.9314 0.2573
0.4329 0.7178 0.7553
0.8243 0.8243 0.5271
```

## Properties
Formation energy (no corrections) = -1.360 eV per atom
Total energy = -51.00 eV for the cell shown
Symmetry = R3


Computed, not measured: a relaxed Ac5Si crystal at the PBE level of DFT.

Cell and atoms, written as POSCAR:
```
Ac5Si
1.0
5.2205 0.0000 0.0000
0.0000 5.2619 0.0000
0.0000 -2.6310 8.3017
Si Ac
1 5
direct
0.0000 0.0000 0.0000
0.5000 0.8451 0.6903
0.5000 0.1549 0.3097
0.5000 0.5000 0.0000
0.0000 0.6588 0.3177
0.0000 0.3412 0.6823
```

## Properties
Formation energy (no corrections) = 0.011 eV per atom
Total energy = -25.90 eV for the cell shown
Symmetry = Cmmm


Q: The highest formation energy (no corrections) belongs to which entry?
A: Ac5Si


Q: What is the formula in the second record?
A: Pm2HoTmTe6


Q: Look up the total energy of the first one.
A: -69.17 eV for the cell shown


Q: Which formula does entry 3 have?
A: Ac5Si